Below is an optimized crystal structure of HgBPd5, with properties calculated at the PBE-GGA level.

Calculated values
space group	No. 123
E_tot	-4.791	eV/atom

a = 3.8831 Å, b = 3.8831 Å, c = 7.0131 Å
α = 90.00°, β = 90.00°, γ = 90.00°
Element x y z (fractional)
1 Hg 0.0000 0.0000 0.0000
2 B 0.5000 0.5000 0.5000
3 Pd 0.0000 0.5000 0.3127
4 Pd 0.0000 0.5000 0.6873
5 Pd 0.5000 0.0000 0.3127
6 Pd 0.5000 0.0000 0.6873
7 Pd 0.5000 0.5000 0.0000

Below is an optimized crystal structure of Hg2BPd2, with properties calculated at the PBE-GGA level.

Calculated values
space group	No. 127
E_tot	-3.464	eV/atom

a = 5.7874 Å, b = 5.7874 Å, c = 5.0887 Å
α = 90.00°, β = 90.00°, γ = 90.00°
Element x y z (fractional)
1 Hg 0.1765 0.3235 0.0000
2 Hg 0.3235 0.8235 0.0000
3 Hg 0.6765 0.1765 0.0000
4 Hg 0.8235 0.6765 0.0000
5 B 0.0000 0.0000 0.5000
6 B 0.5000 0.5000 0.5000
7 Pd 0.1760 0.6760 0.5000
8 Pd 0.3240 0.1760 0.5000
9 Pd 0.6760 0.8240 0.5000
10 Pd 0.8240 0.3240 0.5000

Below is an optimized crystal structure of Hg3BPd4, with properties calculated at the PBE-GGA level.

Calculated values
space group	No. 5
E_tot	-3.594	eV/atom

a = 5.6966 Å, b = 5.6966 Å, c = 5.6689 Å
α = 112.31°, β = 112.31°, γ = 61.10°
Element x y z (fractional)
1 Hg 0.0000 0.0000 0.0000
2 Hg 0.5672 0.0009 0.3123
3 Hg 0.9991 0.4328 0.6877
4 B 0.2869 0.7131 0.5000
5 Pd 0.0346 0.5251 0.2284
6 Pd 0.4749 0.9654 0.7716
7 Pd 0.5087 0.4522 0.7488
8 Pd 0.5478 0.4913 0.2512

Below is an optimized crystal structure of HgB2Pd8, with properties calculated at the PBE-GGA level.

Calculated values
space group	No. 12
E_tot	-5.140	eV/atom

a = 6.3420 Å, b = 6.3420 Å, c = 4.3534 Å
α = 97.14°, β = 97.14°, γ = 111.37°
Element x y z (fractional)
1 Hg 0.0000 0.0000 0.0000
2 B 0.3221 0.6779 0.5000
3 B 0.6779 0.3221 0.5000
4 Pd 0.0641 0.3340 0.5860
5 Pd 0.2614 0.7386 0.0000
6 Pd 0.3340 0.0641 0.5860
7 Pd 0.3940 0.3940 0.2117
8 Pd 0.6060 0.6060 0.7883
9 Pd 0.6660 0.9359 0.4140
10 Pd 0.7386 0.2614 0.0000
11 Pd 0.9359 0.6660 0.4140